Record 1
The following is a PBE calculation of a relaxed Zn2Ga6Cu crystal, from the Alexandria database.

space-group type	R3, No. 146
electronic total energy	-2.7132	eV/atom

```
data_Zn2Ga6Cu
_symmetry_space_group_name_H-M 'P 1'
_symmetry_Int_Tables_number 1
_cell_length_a 6.1940
_cell_length_b 6.1940
_cell_length_c 6.1940
_cell_angle_alpha 58.53
_cell_angle_beta 58.53
_cell_angle_gamma 58.53
loop_
_symmetry_equiv_pos_as_xyz
'x,y,z'
loop_
_atom_site_label
_atom_site_type_symbol
_atom_site_fract_x
_atom_site_fract_y
_atom_site_fract_z
_atom_site_occupancy
Zn1 Zn 0.0000 0.0000 0.0000 1
Zn2 Zn 0.1623 0.1623 0.1623 1
Ga1 Ga 0.1022 0.6383 0.4666 1
Ga2 Ga 0.3187 0.5780 0.8385 1
Ga3 Ga 0.4666 0.1022 0.6383 1
Ga4 Ga 0.5780 0.8385 0.3187 1
Ga5 Ga 0.6383 0.4666 0.1022 1
Ga6 Ga 0.8385 0.3187 0.5780 1
Cu1 Cu 0.8368 0.8368 0.8368 1
```



Record 2
The following is a PBE calculation of a relaxed Zn2GaCu2 crystal, from the Alexandria database.

space-group type	Pbcm, No. 57
electronic total energy	-2.7770	eV/atom

```
data_Zn2GaCu2
_symmetry_space_group_name_H-M 'P 1'
_symmetry_Int_Tables_number 1
_cell_length_a 8.6500
_cell_length_b 5.9362
_cell_length_c 5.8549
_cell_angle_alpha 90.00
_cell_angle_beta 90.00
_cell_angle_gamma 90.00
loop_
_symmetry_equiv_pos_as_xyz
'x,y,z'
loop_
_atom_site_label
_atom_site_type_symbol
_atom_site_fract_x
_atom_site_fract_y
_atom_site_fract_z
_atom_site_occupancy
Zn1 Zn 0.0018 0.2500 0.0000 1
Zn2 Zn 0.0018 0.2500 0.5000 1
Zn3 Zn 0.3203 0.2500 0.0000 1
Zn4 Zn 0.3203 0.2500 0.5000 1
Zn5 Zn 0.6797 0.7500 0.0000 1
Zn6 Zn 0.6797 0.7500 0.5000 1
Zn7 Zn 0.9982 0.7500 0.0000 1
Zn8 Zn 0.9982 0.7500 0.5000 1
Ga1 Ga 0.3198 0.7500 0.0000 1
Ga2 Ga 0.3198 0.7500 0.5000 1
Ga3 Ga 0.6802 0.2500 0.0000 1
Ga4 Ga 0.6802 0.2500 0.5000 1
Cu1 Cu 0.1654 0.5010 0.2500 1
Cu2 Cu 0.1654 0.9990 0.7500 1
Cu3 Cu 0.4975 0.0038 0.7500 1
Cu4 Cu 0.4975 0.4962 0.2500 1
Cu5 Cu 0.5025 0.5038 0.7500 1
Cu6 Cu 0.5025 0.9962 0.2500 1
Cu7 Cu 0.8346 0.0010 0.2500 1
Cu8 Cu 0.8346 0.4990 0.7500 1
```



Record 3
The following is a PBE calculation of a relaxed Zn3GaCu2 crystal, from the Alexandria database.

polymorph energy (0 for the lowest one)	0.0	meV per atom
space-group type	C2/m, No. 12
electronic total energy	-2.5577	eV/atom

```
data_Zn3GaCu2
_symmetry_space_group_name_H-M 'P 1'
_symmetry_Int_Tables_number 1
_cell_length_a 6.6624
_cell_length_b 6.6624
_cell_length_c 6.5042
_cell_angle_alpha 94.80
_cell_angle_beta 94.80
_cell_angle_gamma 36.60
loop_
_symmetry_equiv_pos_as_xyz
'x,y,z'
loop_
_atom_site_label
_atom_site_type_symbol
_atom_site_fract_x
_atom_site_fract_y
_atom_site_fract_z
_atom_site_occupancy
Zn1 Zn 0.0665 0.0665 0.3492 1
Zn2 Zn 0.3073 0.3073 0.5612 1
Zn3 Zn 0.3969 0.3969 0.9318 1
Zn4 Zn 0.6031 0.6031 0.0682 1
Zn5 Zn 0.6927 0.6927 0.4388 1
Zn6 Zn 0.9335 0.9335 0.6508 1
Ga1 Ga 0.1411 0.1411 0.8096 1
Ga2 Ga 0.8589 0.8589 0.1904 1
Cu1 Cu 0.2389 0.2389 0.1748 1
Cu2 Cu 0.4544 0.4544 0.3175 1
Cu3 Cu 0.5456 0.5456 0.6825 1
Cu4 Cu 0.7611 0.7611 0.8252 1
```



Record 4
The following is a PBE calculation of a relaxed Zn2GaCu7 crystal, from the Alexandria database.

space-group type	P3m1, No. 156
electronic total energy	-3.3198	eV/atom

```
data_Zn2GaCu7
_symmetry_space_group_name_H-M 'P 1'
_symmetry_Int_Tables_number 1
_cell_length_a 4.0667
_cell_length_b 4.0667
_cell_length_c 9.6553
_cell_angle_alpha 90.00
_cell_angle_beta 90.00
_cell_angle_gamma 120.00
loop_
_symmetry_equiv_pos_as_xyz
'x,y,z'
loop_
_atom_site_label
_atom_site_type_symbol
_atom_site_fract_x
_atom_site_fract_y
_atom_site_fract_z
_atom_site_occupancy
Zn1 Zn 0.0000 0.0000 0.0000 1
Zn2 Zn 0.3333 0.6667 0.6040 1
Ga1 Ga 0.6667 0.3333 0.4000 1
Cu1 Cu 0.0000 0.0000 0.2446 1
Cu2 Cu 0.0000 0.0000 0.5007 1
Cu3 Cu 0.0000 0.0000 0.7555 1
Cu4 Cu 0.3333 0.6667 0.3116 1
Cu5 Cu 0.3333 0.6667 0.8703 1
Cu6 Cu 0.6667 0.3333 0.1291 1
Cu7 Cu 0.6667 0.3333 0.6949 1
```



Record 5
The following is a PBE calculation of a relaxed Zn2Ga2Cu7 crystal, from the Alexandria database.

polymorph energy (0 for the lowest one)	0.0	meV per atom
space-group type	Imm2, No. 44
electronic total energy	-3.4299	eV/atom

```
data_Zn2Ga2Cu7
_symmetry_space_group_name_H-M 'P 1'
_symmetry_Int_Tables_number 1
_cell_length_a 6.7587
_cell_length_b 6.7587
_cell_length_c 6.7587
_cell_angle_alpha 145.17
_cell_angle_beta 68.85
_cell_angle_gamma 122.68
loop_
_symmetry_equiv_pos_as_xyz
'x,y,z'
loop_
_atom_site_label
_atom_site_type_symbol
_atom_site_fract_x
_atom_site_fract_y
_atom_site_fract_z
_atom_site_occupancy
Zn1 Zn 0.0000 0.0000 0.0000 1
Zn2 Zn 0.7061 0.2061 0.5000 1
Ga1 Ga 0.0190 0.2234 0.7956 1
Ga2 Ga 0.4278 0.2234 0.2044 1
Cu1 Cu 0.1532 0.5140 0.6391 1
Cu2 Cu 0.2727 0.9207 0.3520 1
Cu3 Cu 0.4108 0.4108 0.0000 1
Cu4 Cu 0.5470 0.7004 0.8465 1
Cu5 Cu 0.5687 0.9207 0.6480 1
Cu6 Cu 0.8539 0.7004 0.1535 1
Cu7 Cu 0.8749 0.5140 0.3609 1
```



Record 6
The following is a PBE calculation of a relaxed ZnGa2Cu crystal, from the Alexandria database.

space-group type	P4/mmm, No. 123
electronic total energy	-2.8231	eV/atom

```
data_ZnGa2Cu
_symmetry_space_group_name_H-M 'P 1'
_symmetry_Int_Tables_number 1
_cell_length_a 3.9607
_cell_length_b 3.9607
_cell_length_c 3.8976
_cell_angle_alpha 90.00
_cell_angle_beta 90.00
_cell_angle_gamma 90.00
loop_
_symmetry_equiv_pos_as_xyz
'x,y,z'
loop_
_atom_site_label
_atom_site_type_symbol
_atom_site_fract_x
_atom_site_fract_y
_atom_site_fract_z
_atom_site_occupancy
Zn1 Zn 0.0000 0.0000 0.0000 1
Ga1 Ga 0.0000 0.5000 0.5000 1
Ga2 Ga 0.5000 0.0000 0.5000 1
Cu1 Cu 0.5000 0.5000 0.0000 1
```



Record 7
The following is a PBE calculation of a relaxed Zn2GaCu2 crystal, from the Alexandria database.

space-group type	C2/c, No. 15
electronic total energy	-2.6999	eV/atom

```
data_Zn2GaCu2
_symmetry_space_group_name_H-M 'P 1'
_symmetry_Int_Tables_number 1
_cell_length_a 6.2122
_cell_length_b 6.2122
_cell_length_c 4.4327
_cell_angle_alpha 105.18
_cell_angle_beta 105.18
_cell_angle_gamma 101.68
loop_
_symmetry_equiv_pos_as_xyz
'x,y,z'
loop_
_atom_site_label
_atom_site_type_symbol
_atom_site_fract_x
_atom_site_fract_y
_atom_site_fract_z
_atom_site_occupancy
Zn1 Zn 0.1023 0.2660 0.3860 1
Zn2 Zn 0.2660 0.1023 0.8860 1
Zn3 Zn 0.7340 0.8977 0.1140 1
Zn4 Zn 0.8977 0.7340 0.6140 1
Ga1 Ga 0.4178 0.5822 0.2500 1
Ga2 Ga 0.5822 0.4178 0.7500 1
Cu1 Cu 0.1582 0.8418 0.2500 1
Cu2 Cu 0.3031 0.6969 0.7500 1
Cu3 Cu 0.6969 0.3031 0.2500 1
Cu4 Cu 0.8418 0.1582 0.7500 1
```



Record 8
The following is a PBE calculation of a relaxed ZnGa4Cu15 crystal, from the Alexandria database.

space-group type	P4/mmm, No. 123
electronic total energy	-3.8395	eV/atom

```
data_ZnGa4Cu15
_symmetry_space_group_name_H-M 'P 1'
_symmetry_Int_Tables_number 1
_cell_length_a 3.7721
_cell_length_b 3.7721
_cell_length_c 17.7193
_cell_angle_alpha 90.00
_cell_angle_beta 90.00
_cell_angle_gamma 90.00
loop_
_symmetry_equiv_pos_as_xyz
'x,y,z'
loop_
_atom_site_label
_atom_site_type_symbol
_atom_site_fract_x
_atom_site_fract_y
_atom_site_fract_z
_atom_site_occupancy
Zn1 Zn 0.0000 0.0000 0.0000 1
Ga1 Ga 0.0000 0.0000 0.1984 1
Ga2 Ga 0.0000 0.0000 0.3999 1
Ga3 Ga 0.0000 0.0000 0.6001 1
Ga4 Ga 0.0000 0.0000 0.8016 1
Cu1 Cu 0.0000 0.5000 0.0991 1
Cu2 Cu 0.0000 0.5000 0.2993 1
Cu3 Cu 0.0000 0.5000 0.5000 1
Cu4 Cu 0.0000 0.5000 0.7007 1
Cu5 Cu 0.0000 0.5000 0.9009 1
Cu6 Cu 0.5000 0.0000 0.0991 1
Cu7 Cu 0.5000 0.0000 0.2993 1
Cu8 Cu 0.5000 0.0000 0.5000 1
Cu9 Cu 0.5000 0.0000 0.7007 1
Cu10 Cu 0.5000 0.0000 0.9009 1
Cu11 Cu 0.5000 0.5000 0.0000 1
Cu12 Cu 0.5000 0.5000 0.1993 1
Cu13 Cu 0.5000 0.5000 0.3998 1
Cu14 Cu 0.5000 0.5000 0.6002 1
Cu15 Cu 0.5000 0.5000 0.8007 1
```



Record 9
The following is a PBE calculation of a relaxed ZnGa4Cu crystal, from the Alexandria database.

space-group type	I4/mcm, No. 140
electronic total energy	-2.9611	eV/atom

```
data_ZnGa4Cu
_symmetry_space_group_name_H-M 'P 1'
_symmetry_Int_Tables_number 1
_cell_length_a 6.7473
_cell_length_b 6.7473
_cell_length_c 6.7473
_cell_angle_alpha 124.13
_cell_angle_beta 124.13
_cell_angle_gamma 82.99
loop_
_symmetry_equiv_pos_as_xyz
'x,y,z'
loop_
_atom_site_label
_atom_site_type_symbol
_atom_site_fract_x
_atom_site_fract_y
_atom_site_fract_z
_atom_site_occupancy
Zn1 Zn 0.0000 0.0000 0.0000 1
Zn2 Zn 0.5000 0.5000 0.0000 1
Ga1 Ga 0.0132 0.5132 0.8023 1
Ga2 Ga 0.2109 0.0132 0.5000 1
Ga3 Ga 0.2891 0.7891 0.8023 1
Ga4 Ga 0.4868 0.2891 0.5000 1
Ga5 Ga 0.5132 0.7109 0.5000 1
Ga6 Ga 0.7109 0.2109 0.1977 1
Ga7 Ga 0.7891 0.9868 0.5000 1
Ga8 Ga 0.9868 0.4868 0.1977 1
Cu1 Cu 0.2500 0.2500 0.0000 1
Cu2 Cu 0.7500 0.7500 0.0000 1
```



Record 10
The following is a PBE calculation of a relaxed Zn3Ga4Cu crystal, from the Alexandria database.

space-group type	P-43m, No. 215
electronic total energy	-2.2813	eV/atom

```
data_Zn3Ga4Cu
_symmetry_space_group_name_H-M 'P 1'
_symmetry_Int_Tables_number 1
_cell_length_a 5.3367
_cell_length_b 5.3367
_cell_length_c 5.3367
_cell_angle_alpha 90.00
_cell_angle_beta 90.00
_cell_angle_gamma 90.00
loop_
_symmetry_equiv_pos_as_xyz
'x,y,z'
loop_
_atom_site_label
_atom_site_type_symbol
_atom_site_fract_x
_atom_site_fract_y
_atom_site_fract_z
_atom_site_occupancy
Zn1 Zn 0.0000 0.0000 0.5000 1
Zn2 Zn 0.0000 0.5000 0.0000 1
Zn3 Zn 0.5000 0.0000 0.0000 1
Ga1 Ga 0.3178 0.3178 0.3178 1
Ga2 Ga 0.3178 0.6822 0.6822 1
Ga3 Ga 0.6822 0.3178 0.6822 1
Ga4 Ga 0.6822 0.6822 0.3178 1
Cu1 Cu 0.0000 0.0000 0.0000 1
```



Record 11
The following is a PBE calculation of a relaxed Zn2Ga4Cu crystal, from the Alexandria database.

space-group type	I-4, No. 82
electronic total energy	-2.6021	eV/atom

```
data_Zn2Ga4Cu
_symmetry_space_group_name_H-M 'P 1'
_symmetry_Int_Tables_number 1
_cell_length_a 6.8198
_cell_length_b 6.8198
_cell_length_c 6.8198
_cell_angle_alpha 109.97
_cell_angle_beta 109.97
_cell_angle_gamma 108.48
loop_
_symmetry_equiv_pos_as_xyz
'x,y,z'
loop_
_atom_site_label
_atom_site_type_symbol
_atom_site_fract_x
_atom_site_fract_y
_atom_site_fract_z
_atom_site_occupancy
Zn1 Zn 0.3741 0.2296 0.3549 1
Zn2 Zn 0.7704 0.1253 0.1445 1
Zn3 Zn 0.8747 0.0191 0.6451 1
Zn4 Zn 0.9809 0.6259 0.8555 1
Ga1 Ga 0.1409 0.3966 0.1045 1
Ga2 Ga 0.1461 0.3909 0.6049 1
Ga3 Ga 0.2921 0.0364 0.8955 1
Ga4 Ga 0.4588 0.8539 0.2448 1
Ga5 Ga 0.6034 0.7079 0.7443 1
Ga6 Ga 0.6091 0.2140 0.7552 1
Ga7 Ga 0.7860 0.5412 0.3951 1
Ga8 Ga 0.9636 0.8591 0.2557 1
Cu1 Cu 0.2500 0.7500 0.5000 1
Cu2 Cu 0.5000 0.5000 0.0000 1
```



Record 12
The following is a PBE calculation of a relaxed Zn4GaCu2 crystal, from the Alexandria database.

polymorph energy (0 for the lowest one)	55.0	meV per atom
space-group type	Cc, No. 9
electronic total energy	-2.3057	eV/atom

```
data_Zn4GaCu2
_symmetry_space_group_name_H-M 'P 1'
_symmetry_Int_Tables_number 1
_cell_length_a 8.4656
_cell_length_b 8.4656
_cell_length_c 5.2142
_cell_angle_alpha 94.99
_cell_angle_beta 94.99
_cell_angle_gamma 144.11
loop_
_symmetry_equiv_pos_as_xyz
'x,y,z'
loop_
_atom_site_label
_atom_site_type_symbol
_atom_site_fract_x
_atom_site_fract_y
_atom_site_fract_z
_atom_site_occupancy
Zn1 Zn 0.0073 0.9927 0.5000 1
Zn2 Zn 0.1968 0.7244 0.5154 1
Zn3 Zn 0.2118 0.7339 0.0286 1
Zn4 Zn 0.5288 0.5851 0.5882 1
Zn5 Zn 0.5851 0.5288 0.0882 1
Zn6 Zn 0.7244 0.1968 0.0154 1
Zn7 Zn 0.7339 0.2118 0.5286 1
Zn8 Zn 0.9927 0.0073 0.0000 1
Ga1 Ga 0.1588 0.3941 0.8251 1
Ga2 Ga 0.3941 0.1588 0.3251 1
Cu1 Cu 0.1017 0.3591 0.3147 1
Cu2 Cu 0.3591 0.1017 0.8147 1
Cu3 Cu 0.5920 0.8321 0.2268 1
Cu4 Cu 0.8321 0.5920 0.7268 1
```